A plane-wave DFT calculation with GGA-PBE was carried out for a relaxed structure of ThSnBi2N.

Cell lengths 4.0734, 4.0734, 17.9450 Å; angles 90.00, 90.00, 90.00 degrees
With the nearest neighbours (Å) after each atom.
Positions (direct):
Th 0.2500 0.2500 0.0644  4 N 2.34
Th 0.7500 0.7500 0.9356  4 N 2.34
Sn 0.2500 0.2500 0.6429  5 Bi 2.97-3.15
Sn 0.7500 0.7500 0.3571  5 Bi 2.97-3.15
Bi 0.2500 0.2500 0.4288  4 Sn 3.15
Bi 0.2500 0.2500 0.8085  1 Sn 2.97
Bi 0.7500 0.7500 0.1915  1 Sn 2.97
Bi 0.7500 0.7500 0.5712  4 Sn 3.15
N 0.2500 0.7500 0.0000  4 Th 2.34
N 0.7500 0.2500 0.0000  4 Th 2.34

Results
uncorrected formation energy: -0.635 eV/atom
theoretical density: 8.73 Mg/m³
symmetry: P4/nmm (129)

=====

A plane-wave DFT calculation with GGA-PBE was carried out for a relaxed structure of Y4SnBiN.

Cell lengths 8.7435, 8.7435, 6.6622 Å; angles 90.00, 90.00, 135.17 degrees
With the nearest neighbours (Å) after each atom.
Positions (direct):
Y 0.0000 0.5000 0.0000  2 N 2.36
Y 0.0000 0.5000 0.5000  2 N 2.36
Y 0.0887 0.9113 0.7500  1 N 2.59
Y 0.4072 0.5928 0.7500  1 N 2.55
Y 0.5000 0.0000 0.0000  2 N 2.36
Y 0.5000 0.0000 0.5000  2 N 2.36
Y 0.5928 0.4072 0.2500  1 N 2.55
Y 0.9113 0.0887 0.2500  1 N 2.59
Sn 0.1076 0.8924 0.2500  9 Y 3.17-3.35
Sn 0.8924 0.1076 0.7500  9 Y 3.17-3.35
Bi 0.3954 0.6046 0.2500  9 Y 3.19-3.34
Bi 0.6046 0.3954 0.7500  9 Y 3.19-3.34
N 0.2492 0.7508 0.7500  6 Y 2.36-2.59
N 0.7508 0.2492 0.2500  6 Y 2.36-2.59

Results
uncorrected formation energy: -0.975 eV/atom
theoretical density: 6.45 Mg/m³
symmetry: Cmcm (63)

=====

A plane-wave DFT calculation with GGA-PBE was carried out for a relaxed structure of Sr5Bi2N.

Cell lengths 8.1371, 8.1371, 14.6118 Å; angles 90.00, 90.00, 134.07 degrees
With the nearest neighbours (Å) after each atom.
Positions (direct):
Sr 0.0599 0.9401 0.6291  1 N 2.56
Sr 0.0599 0.9401 0.8709  1 N 2.56
Sr 0.2966 0.7034 0.2500  2 N 3.19, 2 Bi 3.33
Sr 0.3006 0.6994 0.6155  1 N 2.64
Sr 0.3006 0.6994 0.8845  1 N 2.64
Sr 0.6994 0.3006 0.1155  1 N 2.64
Sr 0.6994 0.3006 0.3845  1 N 2.64
Sr 0.7034 0.2966 0.7500  2 N 3.19, 2 Bi 3.33
Sr 0.9401 0.0599 0.1291  1 N 2.56
Sr 0.9401 0.0599 0.3709  1 N 2.56
Bi 0.1568 0.8432 0.0732  6 Sr 3.29-3.50
Bi 0.1568 0.8432 0.4268  6 Sr 3.29-3.50
Bi 0.8432 0.1568 0.5732  6 Sr 3.29-3.50
Bi 0.8432 0.1568 0.9268  6 Sr 3.29-3.50
N 0.1831 0.8169 0.7500  4 Sr 2.56-2.64
N 0.8169 0.1831 0.2500  4 Sr 2.56-2.64

Results
uncorrected formation energy: -0.560 eV/atom
theoretical density: 4.16 Mg/m³
symmetry: Cmcm (63)

=====

A plane-wave DFT calculation with GGA-PBE was carried out for a relaxed structure of Sr4BiN.

Cell lengths 10.1587, 10.1587, 6.4944 Å; angles 106.90, 106.90, 42.79 degrees
With the nearest neighbours (Å) after each atom.
Positions (direct):
Sr 0.1144 0.6469 0.4552  1 N 2.45
Sr 0.1949 0.1949 0.1565  1 N 2.44
Sr 0.2258 0.7742 0.0000  2 N 2.55
Sr 0.3531 0.8856 0.5448  1 N 2.45
Sr 0.6469 0.1144 0.4552  1 N 2.45
Sr 0.7742 0.2258 0.0000  2 N 2.55
Sr 0.8051 0.8051 0.8435  1 N 2.44
Sr 0.8856 0.3531 0.5448  1 N 2.45
Bi 0.3032 0.3032 0.7852  8 Sr 3.55-3.96
Bi 0.6968 0.6968 0.2148  8 Sr 3.55-3.96
N 0.0823 0.0823 0.2644  5 Sr 2.44-2.55
N 0.9177 0.9177 0.7356  5 Sr 2.44-2.55

Results
uncorrected formation energy: -0.558 eV/atom
theoretical density: 4.40 Mg/m³
symmetry: C2/m (12)

=====

A plane-wave DFT calculation with GGA-PBE was carried out for a relaxed structure of Sr7Bi3N2.

Cell lengths 13.7393, 13.7393, 5.1554 Å; angles 90.00, 90.00, 157.79 degrees
With the nearest neighbours (Å) after each atom.
Positions (direct):
Sr 0.0000 0.0000 0.0000  2 N 2.68
Sr 0.0976 0.9024 0.5000  2 N 2.58
Sr 0.1950 0.8050 0.0000  1 N 2.58
Sr 0.4015 0.5985 0.0000  2 N 2.65
Sr 0.5985 0.4015 0.0000  2 N 2.65
Sr 0.8050 0.1950 0.0000  1 N 2.58
Sr 0.9024 0.0976 0.5000  2 N 2.58
Bi 0.3108 0.6892 0.5000  8 Sr 3.55-3.70
Bi 0.5000 0.5000 0.5000  12 Sr 3.69-3.73
Bi 0.6892 0.3108 0.5000  8 Sr 3.55-3.70
N 0.0993 0.9007 0.0000  6 Sr 2.58-2.68
N 0.9007 0.0993 0.0000  6 Sr 2.58-2.68

Results
uncorrected formation energy: -0.813 eV/atom
theoretical density: 5.73 Mg/m³
symmetry: Cmmm (65)

=====

A plane-wave DFT calculation with GGA-PBE was carried out for a relaxed structure of Sr7Bi2N2.

Cell lengths 8.2429, 8.2429, 7.2576 Å; angles 96.36, 96.36, 102.71 degrees
With the nearest neighbours (Å) after each atom.
Positions (direct):
Sr 0.0000 0.0000 0.0000  2 N 2.51
Sr 0.0942 0.4033 0.7442  1 N 2.40
Sr 0.3758 0.3758 0.2152  1 N 2.39
Sr 0.4033 0.0942 0.7442  1 N 2.40
Sr 0.5967 0.9058 0.2558  1 N 2.40
Sr 0.6242 0.6242 0.7848  1 N 2.39
Sr 0.9058 0.5967 0.2558  1 N 2.40
Bi 0.2960 0.7040 0.5000  6 Sr 3.38-3.44
Bi 0.7040 0.2960 0.5000  6 Sr 3.38-3.44
N 0.2278 0.2278 0.9208  4 Sr 2.39-2.51
N 0.7722 0.7722 0.0792  4 Sr 2.39-2.51

Results
uncorrected formation energy: -0.542 eV/atom
theoretical density: 3.72 Mg/m³
symmetry: C2/m (12)

=====

A plane-wave DFT calculation with GGA-PBE was carried out for a relaxed structure of Sr9Bi3N2.

Cell lengths 7.5397, 7.5397, 9.2358 Å; angles 90.00, 90.00, 120.00 degrees
With the nearest neighbours (Å) after each atom.
Positions (direct):
Sr 0.0000 0.5000 0.0000  2 N 2.68
Sr 0.1733 0.3466 0.6762  1 N 2.53
Sr 0.1733 0.8267 0.6762  1 N 2.53
Sr 0.3466 0.1733 0.3238  1 N 2.53
Sr 0.5000 0.0000 0.0000  2 N 2.68
Sr 0.5000 0.5000 0.0000  2 N 2.68
Sr 0.6534 0.8267 0.6762  1 N 2.53
Sr 0.8267 0.1733 0.3238  1 N 2.53
Sr 0.8267 0.6534 0.3238  1 N 2.53
Bi 0.0000 0.0000 0.0000  12 Sr 3.75-3.77
Bi 0.3333 0.6667 0.3331  12 Sr 3.77-3.80
Bi 0.6667 0.3333 0.6669  12 Sr 3.77-3.80
N 0.3333 0.6667 0.8305  6 Sr 2.53-2.68
N 0.6667 0.3333 0.1695  6 Sr 2.53-2.68

Results
uncorrected formation energy: -0.761 eV/atom
theoretical density: 5.27 Mg/m³
symmetry: P-3m1 (164)

=====

A plane-wave DFT calculation with GGA-PBE was carried out for a relaxed structure of Sr4Bi2N.

Cell lengths 7.2611, 7.2529, 9.9790 Å; angles 90.00, 108.25, 90.00 degrees
With the nearest neighbours (Å) after each atom.
Positions (direct):
Sr 0.1484 0.2500 0.0554  1 N 2.38
Sr 0.1937 0.0107 0.7191  1 N 2.36
Sr 0.1937 0.4893 0.7191  1 N 2.36
Sr 0.2941 0.7500 0.3358  1 N 2.38
Sr 0.7059 0.2500 0.6642  1 N 2.38
Sr 0.8063 0.5107 0.2809  1 N 2.36
Sr 0.8063 0.9893 0.2809  1 N 2.36
Sr 0.8516 0.7500 0.9446  1 N 2.38
Bi 0.2336 0.2500 0.4209  8 Sr 3.50-3.78
Bi 0.4136 0.7500 0.0191  6 Sr 3.48-3.65, 1 N 3.81, 2 Bi 3.89
Bi 0.5864 0.2500 0.9809  6 Sr 3.48-3.65, 1 N 3.81, 2 Bi 3.89
Bi 0.7664 0.7500 0.5791  8 Sr 3.50-3.78
N 0.0387 0.2500 0.8039  4 Sr 2.36-2.38
N 0.9613 0.7500 0.1961  4 Sr 2.36-2.38

Results
polymorph energy (0 for the lowest one): 0.084 eV/atom
uncorrected formation energy: -0.734 eV/atom
theoretical density: 5.21 Mg/m³
symmetry: P2_1/m (11)

=====

A plane-wave DFT calculation with GGA-PBE was carried out for a relaxed structure of SrBiN.

Cell lengths 3.7317, 5.4058, 7.0804 Å; angles 90.00, 90.00, 90.00 degrees
With the nearest neighbours (Å) after each atom.
Positions (direct):
Sr 0.2500 0.2500 0.1344  4 N 2.64-2.70
Sr 0.7500 0.7500 0.8656  4 N 2.64-2.70
Bi 0.2500 0.2500 0.6608  2 N 2.39
Bi 0.7500 0.7500 0.3392  2 N 2.39
N 0.2500 0.7500 0.1286  2 Bi 2.39, 2 Sr 2.64
N 0.7500 0.2500 0.8714  2 Bi 2.39, 2 Sr 2.64

Results
uncorrected formation energy: -0.307 eV/atom
theoretical density: 7.22 Mg/m³
symmetry: Pmmn (59)

=====

A plane-wave DFT calculation with GGA-PBE was carried out for a relaxed structure of Sr6Bi2N.

Cell lengths 7.6289, 7.6204, 13.2088 Å; angles 90.00, 125.24, 90.00 degrees
With the nearest neighbours (Å) after each atom.
Positions (direct):
Sr 0.2180 0.0007 0.2402  1 N 2.60
Sr 0.2180 0.4993 0.7402  1 N 2.60
Sr 0.2302 0.7397 0.0108  1 N 2.60
Sr 0.2302 0.7603 0.5108  1 N 2.60
Sr 0.2716 0.2195 0.0116  1 N 2.60
Sr 0.2716 0.2805 0.5116  1 N 2.60
Sr 0.7284 0.7195 0.4884  1 N 2.60
Sr 0.7284 0.7805 0.9884  1 N 2.60
Sr 0.7698 0.2397 0.4892  1 N 2.60
Sr 0.7698 0.2603 0.9892  1 N 2.60
Sr 0.7820 0.5007 0.2598  1 N 2.60
Sr 0.7820 0.9993 0.7598  1 N 2.60
Bi 0.2517 0.0068 0.7501  10 Sr 3.59-3.97
Bi 0.2517 0.4932 0.2501  10 Sr 3.59-3.97
Bi 0.7483 0.5068 0.7499  10 Sr 3.59-3.97
Bi 0.7483 0.9932 0.2499  10 Sr 3.59-3.97
N 0.0000 0.0000 0.0000  6 Sr 2.60
N 0.0000 0.5000 0.5000  6 Sr 2.60

Results
uncorrected formation energy: -0.682 eV/atom
theoretical density: 5.07 Mg/m³
symmetry: P2_1/c (14)

=====

| no. | energy (eV for the cell shown) |
| --- | --- |
| 1 | -61.4 |
| 2 | -97.8 |
| 3 | -58.0 |
| 4 | -44.6 |
| 5 | -49.8 |
| 6 | -42.1 |
| 7 | -54.1 |
| 8 | -55.9 |
| 9 | -29.6 |
| 10 | -64.6 |